(1)
First-principles (PBE) data for crystalline Th3TlCN at its relaxed geometry, as listed in Alexandria.

Symmetry ... P2_1/m, No. 11
Calculated density ... 10.4 g cm⁻³

Lattice parameters (Å, degrees): 3.917 7.893 10.311 111.69 90.00 90.00
Positions (direct):
1 N 0.750 0.917 0.392
2 N 0.250 0.083 0.608
3 Tl 0.250 0.296 0.314
4 Tl 0.750 0.704 0.686
5 Th 0.250 0.786 0.430
6 Th 0.750 0.214 0.570
7 Th 0.750 0.910 0.166
8 Th 0.750 0.442 0.118
9 Th 0.250 0.090 0.834
10 Th 0.250 0.558 0.882
11 C 0.250 0.692 0.144
12 C 0.750 0.308 0.856

=====

(2)
First-principles (PBE) data for crystalline YThCN at its relaxed geometry, as listed in Alexandria.

Symmetry ... P4/mmm, No. 123
Calculated density ... 8.5 g cm⁻³

Lattice parameters (Å, degrees): 3.650 3.650 5.107 90.00 90.00 90.00
Positions (direct):
1 Y 0.500 0.500 0.000
2 C 0.000 0.000 0.000
3 N 0.500 0.500 0.500
4 Th 0.000 0.000 0.500

=====

(3)
First-principles (PBE) data for crystalline Ti6C2N at its relaxed geometry, as listed in Alexandria.

Symmetry ... P4_2/mnm, No. 136
Calculated density ... 4.6 g cm⁻³

Lattice parameters (Å, degrees): 5.005 5.005 9.317 90.00 90.00 90.00
Positions (direct):
1 Ti 0.298 0.298 0.336
2 Ti 0.298 0.298 0.664
3 Ti 0.702 0.702 0.336
4 Ti 0.798 0.202 0.836
5 Ti 0.703 0.703 0.000
6 Ti 0.798 0.202 0.164
7 Ti 0.202 0.798 0.836
8 Ti 0.702 0.702 0.664
9 Ti 0.797 0.203 0.500
10 Ti 0.297 0.297 0.000
11 Ti 0.202 0.798 0.164
12 Ti 0.203 0.797 0.500
13 N 0.500 0.500 0.500
14 N 0.000 0.000 0.000
15 C 0.000 0.000 0.668
16 C 0.500 0.500 0.168
17 C 0.500 0.500 0.832
18 C 0.000 0.000 0.332

=====

(4)
First-principles (PBE) data for crystalline Ti6CN2 at its relaxed geometry, as listed in Alexandria.

Symmetry ... C2/m, No. 12
Calculated density ... 4.6 g cm⁻³
Energy above the most stable polymorph in this dataset ... 239 meV/atom

Lattice parameters (Å, degrees): 3.959 5.326 6.611 67.87 72.58 68.18
Positions (direct):
1 N 0.178 0.735 0.909
2 N 0.822 0.265 0.091
3 Ti 0.354 0.714 0.578
4 Ti 0.312 0.297 0.080
5 Ti 0.020 0.174 0.786
6 Ti 0.980 0.826 0.214
7 Ti 0.646 0.286 0.422
8 Ti 0.688 0.703 0.920
9 C 0.000 0.500 0.500

=====

(5)
First-principles (PBE) data for crystalline Ti2C3N6 at its relaxed geometry, as listed in Alexandria.

Symmetry ... C2/m, No. 12
Calculated density ... 3.2 g cm⁻³
Energy above the most stable polymorph in this dataset ... 108 meV/atom

Lattice parameters (Å, degrees): 6.977 3.294 5.023 90.00 83.81 76.34
Site moments in Bohr magnetons follow the coordinates.
Positions (direct):
1 Ti 0.259 0.870 0.939  0.79
2 Ti 0.741 0.130 0.061  0.79
3 N 0.311 0.345 0.653  -0.02
4 N 0.383 0.309 0.162  -0.02
5 N 0.973 0.013 0.747  -0.02
6 N 0.617 0.691 0.838  -0.02
7 N 0.689 0.655 0.347  -0.02
8 N 0.027 0.987 0.253  -0.02
9 C 0.000 0.000 0.500  0.03
10 C 0.343 0.329 0.410  0.02
11 C 0.657 0.671 0.590  0.02

=====

(6)
First-principles (PBE) data for crystalline Ti6C2N3 at its relaxed geometry, as listed in Alexandria.

Symmetry ... P-31m, No. 162
Calculated density ... 5.0 g cm⁻³

Lattice parameters (Å, degrees): 5.056 5.179 5.179 120.00 90.00 90.00
Positions (direct):
1 Ti 0.257 0.340 0.000
2 Ti 0.257 0.660 0.660
3 Ti 0.743 0.660 0.000
4 Ti 0.743 0.000 0.660
5 Ti 0.257 0.000 0.340
6 Ti 0.743 0.340 0.340
7 N 0.000 0.667 0.333
8 N 0.000 0.333 0.667
9 N 0.500 0.000 0.000
10 C 0.500 0.667 0.333
11 C 0.500 0.333 0.667

=====

(7)
First-principles (PBE) data for crystalline Ti8C4N3 at its relaxed geometry, as listed in Alexandria.

Symmetry ... C2/m, No. 12
Calculated density ... 5.0 g cm⁻³

Lattice parameters (Å, degrees): 6.078 6.076 6.076 89.98 120.06 120.06
Positions (direct):
1 C 0.000 0.000 0.500
2 C 0.500 0.000 0.000
3 C 0.000 0.000 0.000
4 C 0.000 0.500 0.000
5 Ti 0.500 0.752 0.248
6 Ti 0.000 0.757 0.243
7 Ti 0.515 0.758 0.758
8 Ti 0.997 0.754 0.754
9 Ti 0.003 0.246 0.246
10 Ti 0.500 0.248 0.752
11 Ti 0.000 0.243 0.757
12 Ti 0.485 0.242 0.242
13 N 0.500 0.000 0.500
14 N 0.500 0.500 0.500
15 N 0.500 0.500 0.000

=====

(8)
First-principles (PBE) data for crystalline Ti4CN3 at its relaxed geometry, as listed in Alexandria.

Symmetry ... P2/c, No. 13
Calculated density ... 5.2 g cm⁻³
Energy above the most stable polymorph in this dataset ... 0 meV/atom

Lattice parameters (Å, degrees): 5.229 5.237 6.041 90.00 90.00 109.33
Positions (direct):
1 Ti 0.001 0.245 0.123
2 Ti 0.506 0.750 0.628
3 Ti 0.994 0.250 0.628
4 Ti 0.999 0.755 0.877
5 Ti 0.501 0.245 0.877
6 Ti 0.499 0.755 0.123
7 Ti 0.494 0.250 0.372
8 Ti 0.006 0.750 0.372
9 N 0.250 0.000 0.624
10 N 0.250 0.500 0.376
11 N 0.250 0.500 0.874
12 N 0.750 0.500 0.624
13 N 0.750 0.000 0.376
14 N 0.750 0.500 0.126
15 C 0.250 0.000 0.126
16 C 0.750 0.000 0.874

=====

(9)
First-principles (PBE) data for crystalline Ti3CN2 at its relaxed geometry, as listed in Alexandria.

Symmetry ... Immm, No. 71
Calculated density ... 5.2 g cm⁻³

Lattice parameters (Å, degrees): 3.022 4.278 5.245 114.07 106.70 90.00
Positions (direct):
1 N 0.166 0.666 0.332
2 N 0.834 0.334 0.668
3 Ti 0.164 0.165 0.329
4 Ti 0.500 0.500 0.000
5 Ti 0.836 0.835 0.671
6 C 0.500 0.000 0.000

=====

(10)
First-principles (PBE) data for crystalline Ti6CN2 at its relaxed geometry, as listed in Alexandria.

Symmetry ... P4_2/mnm, No. 136
Calculated density ... 4.8 g cm⁻³
Energy above the most stable polymorph in this dataset ... 0 meV/atom

Lattice parameters (Å, degrees): 4.980 4.980 9.209 90.00 90.00 90.00
Positions (direct):
1 Ti 0.703 0.703 0.669
2 Ti 0.297 0.297 0.669
3 Ti 0.798 0.202 0.500
4 Ti 0.203 0.797 0.169
5 Ti 0.297 0.297 0.331
6 Ti 0.298 0.298 0.000
7 Ti 0.202 0.798 0.500
8 Ti 0.203 0.797 0.831
9 Ti 0.797 0.203 0.831
10 Ti 0.797 0.203 0.169
11 Ti 0.702 0.702 0.000
12 Ti 0.703 0.703 0.331
13 C 0.500 0.500 0.500
14 C 0.000 0.000 0.000
15 N 0.000 0.000 0.334
16 N 0.500 0.500 0.166
17 N 0.500 0.500 0.834
18 N 0.000 0.000 0.666

=====

(11)
First-principles (PBE) data for crystalline TiC2N at its relaxed geometry, as listed in Alexandria.

Symmetry ... I-42d, No. 122
Calculated density ... 4.3 g cm⁻³

Lattice parameters (Å, degrees): 4.735 4.735 4.475 58.06 58.06 90.00
Positions (direct):
1 N 0.250 0.750 0.500
2 N 0.500 0.500 0.000
3 C 0.226 0.625 0.250
4 C 0.524 0.125 0.250
5 C 0.875 0.774 0.750
6 C 0.375 0.476 0.750
7 Ti 0.750 0.250 0.500
8 Ti 0.000 0.000 0.000

=====

(12)
First-principles (PBE) data for crystalline Ti8CN2 at its relaxed geometry, as listed in Alexandria.

Symmetry ... C2/m, No. 12
Calculated density ... 4.6 g cm⁻³
Energy above the most stable polymorph in this dataset ... 0 meV/atom

Lattice parameters (Å, degrees): 4.517 5.916 5.916 73.37 89.34 89.34
Positions (direct):
1 Ti 0.751 0.392 0.392
2 Ti 0.758 0.898 0.315
3 Ti 0.242 0.102 0.685
4 Ti 0.249 0.608 0.608
5 Ti 0.758 0.315 0.898
6 Ti 0.242 0.685 0.102
7 Ti 0.262 0.177 0.177
8 Ti 0.738 0.823 0.823
9 N 0.252 0.390 0.390
10 N 0.748 0.610 0.610
11 C 0.000 0.000 0.000

=====

(13)
First-principles (PBE) data for crystalline Ti5C4N at its relaxed geometry, as listed in Alexandria.

Symmetry ... Immm, No. 71
Calculated density ... 5.0 g cm⁻³

Lattice parameters (Å, degrees): 3.057 4.304 8.095 105.42 100.88 90.00
Positions (direct):
1 Ti 0.200 0.700 0.400
2 Ti 0.399 0.899 0.798
3 Ti 0.601 0.101 0.202
4 Ti 0.000 0.500 0.000
5 Ti 0.800 0.300 0.600
6 C 0.401 0.401 0.801
7 C 0.599 0.599 0.199
8 C 0.801 0.801 0.603
9 C 0.199 0.199 0.397
10 N 0.000 0.000 0.000

=====

(14)
First-principles (PBE) data for crystalline Ti8CN4 at its relaxed geometry, as listed in Alexandria.

Symmetry ... R-3m, No. 166
Calculated density ... 4.9 g cm⁻³

Lattice parameters (Å, degrees): 6.014 6.014 6.007 59.96 59.96 60.00
Positions (direct):
1 Ti 0.249 0.249 0.762
2 Ti 0.249 0.740 0.762
3 Ti 0.260 0.751 0.238
4 Ti 0.740 0.249 0.762
5 Ti 0.751 0.751 0.238
6 Ti 0.751 0.260 0.238
7 Ti 0.746 0.746 0.763
8 Ti 0.254 0.254 0.237
9 N 0.000 0.000 0.000
10 N 0.500 0.500 0.000
11 N 0.500 0.000 0.000
12 N 0.000 0.500 0.000
13 C 0.500 0.500 0.500

=====

(15)
First-principles (PBE) data for crystalline Ti4CN3 at its relaxed geometry, as listed in Alexandria.

Symmetry ... R-3m, No. 166
Calculated density ... 5.2 g cm⁻³
Energy above the most stable polymorph in this dataset ... 10 meV/atom

Lattice parameters (Å, degrees): 10.009 10.009 10.009 17.38 17.38 17.38
Positions (direct):
1 Ti 0.626 0.626 0.626
2 Ti 0.374 0.374 0.374
3 Ti 0.875 0.875 0.875
4 Ti 0.125 0.125 0.125
5 N 0.000 0.000 0.000
6 N 0.251 0.251 0.251
7 N 0.749 0.749 0.749
8 C 0.500 0.500 0.500

=====

(16)
First-principles (PBE) data for crystalline Ti8C3N2 at its relaxed geometry, as listed in Alexandria.

Symmetry ... C2/m, No. 12
Calculated density ... 4.7 g cm⁻³

Lattice parameters (Å, degrees): 5.263 6.076 6.746 116.77 120.71 90.00
Positions (direct):
1 Ti 0.001 0.879 0.758
2 Ti 0.516 0.116 0.751
3 Ti 0.516 0.634 0.751
4 Ti 0.978 0.375 0.749
5 Ti 0.484 0.884 0.249
6 Ti 0.484 0.366 0.249
7 Ti 0.999 0.121 0.242
8 Ti 0.022 0.625 0.251
9 C 0.500 0.000 0.000
10 C 0.000 0.748 0.000
11 C 0.000 0.252 0.000
12 N 0.505 0.748 0.497
13 N 0.495 0.252 0.503

=====

(17)
First-principles (PBE) data for crystalline Ti8CN3 at its relaxed geometry, as listed in Alexandria.

Symmetry ... C2/m, No. 12
Calculated density ... 4.8 g cm⁻³

Lattice parameters (Å, degrees): 6.121 6.013 6.686 126.73 90.00 120.59
Positions (direct):
1 Ti 0.773 0.050 0.242
2 Ti 0.227 0.950 0.758
3 Ti 0.277 0.553 0.243
4 Ti 0.277 0.050 0.242
5 Ti 0.723 0.950 0.758
6 Ti 0.774 0.549 0.239
7 Ti 0.226 0.451 0.761
8 Ti 0.723 0.447 0.757
9 N 0.000 0.500 0.000
10 N 0.500 0.500 0.000
11 N 0.500 0.000 0.000
12 C 0.000 0.000 0.000

=====

(18)
First-principles (PBE) data for crystalline Ti2C3N6 at its relaxed geometry, as listed in Alexandria.

Symmetry ... C2/c, No. 15
Calculated density ... 2.7 g cm⁻³
Energy above the most stable polymorph in this dataset ... 0 meV/atom

Lattice parameters (Å, degrees): 10.217 5.615 29.090 90.00 161.49 74.05
Site moments in Bohr magnetons follow the coordinates.
Positions (direct):
1 Ti 0.990 0.006 0.664  0.84
2 Ti 0.010 0.994 0.336  0.84
3 Ti 0.990 0.004 0.164  0.84
4 Ti 0.010 0.996 0.836  0.84
5 N 0.824 0.400 0.150  -0.03
6 N 0.987 0.619 0.454  -0.03
7 N 0.987 0.394 0.954  -0.03
8 N 0.850 0.377 0.574  -0.03
9 N 0.150 0.623 0.426  -0.03
10 N 0.176 0.600 0.850  -0.03
11 N 0.013 0.606 0.046  -0.03
12 N 0.176 0.224 0.350  -0.03
13 N 0.824 0.776 0.650  -0.03
14 N 0.150 0.227 0.926  -0.03
15 N 0.850 0.773 0.074  -0.03
16 N 0.013 0.381 0.546  -0.03
17 C 0.000 0.684 0.750  0.06
18 C 0.000 0.316 0.250  0.06
19 C 0.056 0.629 0.436  0.06
20 C 0.056 0.314 0.936  0.06
21 C 0.944 0.686 0.064  0.06
22 C 0.944 0.371 0.564  0.06

=====

(19)
First-principles (PBE) data for crystalline Ti3C2N at its relaxed geometry, as listed in Alexandria.

Symmetry ... Immm, No. 71
Calculated density ... 5.0 g cm⁻³

Lattice parameters (Å, degrees): 3.044 4.311 5.276 114.12 106.80 90.00
Positions (direct):
1 C 0.833 0.333 0.666
2 C 0.167 0.667 0.334
3 Ti 0.500 0.500 0.000
4 Ti 0.167 0.167 0.334
5 Ti 0.833 0.833 0.666
6 N 0.500 0.000 0.000

=====

(20)
First-principles (PBE) data for crystalline Ti8CN2 at its relaxed geometry, as listed in Alexandria.

Symmetry ... C2/m, No. 12
Calculated density ... 4.7 g cm⁻³
Energy above the most stable polymorph in this dataset ... 3 meV/atom

Lattice parameters (Å, degrees): 5.131 5.977 5.977 60.30 105.93 105.93
Positions (direct):
1 Ti 0.745 0.113 0.630
2 Ti 0.754 0.128 0.128
3 Ti 0.266 0.378 0.378
4 Ti 0.745 0.630 0.113
5 Ti 0.246 0.872 0.872
6 Ti 0.255 0.370 0.887
7 Ti 0.255 0.887 0.370
8 Ti 0.734 0.622 0.622
9 N 0.510 0.254 0.254
10 N 0.490 0.746 0.746
11 C 0.000 0.000 0.000

=====

One value per record, in order, for energy: -0.28153 -0.32380 -0.33471 -0.33089 -0.32299 -0.34746 -0.35040 -0.35805 -0.35687 -0.33965 -0.28556 -0.32725 -0.34860 -0.34691 -0.35768 -0.34209 -0.33906 -0.32698 -0.35108 -0.32713 Ha/atom.